Entry 1:
## Ba2SnS3 (PBE)

Data for Ba2SnS3 after structural relaxation.

Computed properties:
**DOS(E_F)**: 1.20 states/eV per cell
**Formation energy without anion corrections**: -1436 meV per atom
**Energy**: -28.845 eV for the cell shown
**Symmetry**: No. 71
**Relative energy among the computed polymorphs**: 2.1 kJ per mole of atoms

```
6
Lattice="-2.106 2.571 8.451 2.106 -2.571 8.451 2.106 2.571 -8.451" Properties=species:S:1:pos:R:3 pbc="T T T"
Ba 0.000 0.000 2.532
Ba 0.000 0.000 14.370
Sn 0.000 0.000 8.451
S 2.106 0.000 0.000
S 0.000 0.000 5.670
S 0.000 0.000 11.233
```

***

Entry 2:
## BaSnS3 (PBE)

Data for BaSnS3 after structural relaxation.

Computed properties:
**DOS(E_F)**: 5.76 states/eV per cell
**Formation energy without anion corrections**: 265 meV per atom
**Energy**: -16.982 eV for the cell shown
**Symmetry**: No. 221

```
5
Lattice="5.592 0.000 0.000 0.000 5.592 0.000 0.000 0.000 5.592" Properties=species:S:1:pos:R:3 pbc="T T T"
Ba 0.000 0.000 0.000
Sn 2.796 2.796 2.796
S 0.000 0.000 2.796
S 0.000 2.796 0.000
S 2.796 0.000 0.000
```

***

Entry 3:
## Ba3SnS4 (PBE)

Data for Ba3SnS4 after structural relaxation.

Computed properties:
**Formation energy without anion corrections**: -1628 meV per atom
**Energy**: -39.304 eV for the cell shown
**Symmetry**: No. 123

```
8
Lattice="4.482 0.000 0.000 0.000 4.482 0.000 0.000 0.000 12.634" Properties=species:S:1:pos:R:3 pbc="T T T"
Ba 0.000 0.000 0.000
Ba 2.241 2.241 3.261
Ba 2.241 2.241 9.373
Sn 0.000 0.000 6.317
S 0.000 0.000 3.290
S 0.000 0.000 9.345
S 2.241 2.241 0.000
S 2.241 2.241 6.317
```

***

Entry 4:
## Ba2SrSnS4 (PBE)

Data for Ba2SrSnS4 after structural relaxation.

Computed properties:
**DOS(E_F)**: 0.00 states/eV per cell
**Formation energy without anion corrections**: -1650 meV per atom
**Energy**: -78.479 eV for the cell shown
**Symmetry**: No. 74

```
16
Lattice="-4.391 4.405 6.216 4.391 -4.405 6.216 4.391 4.405 -6.216" Properties=species:S:1:pos:R:3 pbc="T T T"
Ba 0.000 0.000 0.000
Ba -2.195 2.203 3.108
Ba 0.000 4.405 0.000
Ba 2.195 2.203 3.108
Sr 2.195 2.203 -3.108
Sr 2.195 -2.203 3.108
Sn 4.391 0.000 0.000
Sn 0.000 0.000 6.216
S 4.391 -0.089 3.036
S 2.292 2.203 -0.063
S 6.489 2.203 -0.063
S 4.391 4.316 -3.036
S 0.000 0.089 9.252
S -2.099 2.203 6.279
S 2.099 2.203 6.279
S 0.000 4.494 3.180
```